[1]
# Tb4N3O

A relaxed Tb4N3O crystal (GGA-PBE, OQMD).

a = 4.893 Å, b = 4.893 Å, c = 4.893 Å
α = 90.00°, β = 90.00°, γ = 90.00°
Fractional coordinates of all 8 atoms:
1 Tb 0.000 0.000 0.000
2 Tb 0.000 0.500 0.500
3 Tb 0.500 0.000 0.500
4 Tb 0.500 0.500 0.000
5 N 0.000 0.000 0.500
6 N 0.000 0.500 0.000
7 N 0.500 0.000 0.000
8 O 0.500 0.500 0.500

---

[2]
# TbTcNO

A relaxed TbTcNO crystal (GGA-PBE, OQMD).

a = 3.814 Å, b = 5.332 Å, c = 5.025 Å
α = 90.00°, β = 90.00°, γ = 90.00°
Fractional coordinates of all 8 atoms:
1 Tb 0.000 0.213 0.000
2 Tb 0.000 0.787 0.500
3 Tc 0.500 0.328 0.496
4 Tc 0.500 0.672 0.996
5 N 0.000 0.329 0.494
6 N 0.000 0.671 0.994
7 O 0.500 0.029 0.789
8 O 0.500 0.971 0.289

---

[3]
# TbTcNO

A relaxed TbTcNO crystal (GGA-PBE, OQMD).

a = 3.292 Å, b = 5.731 Å, c = 5.744 Å
α = 90.00°, β = 90.00°, γ = 90.00°
Fractional coordinates of all 8 atoms:
1 Tb 0.000 0.229 0.000
2 Tb 0.000 0.771 0.500
3 Tc 0.500 0.224 0.523
4 Tc 0.500 0.776 0.023
5 N 0.500 0.026 0.264
6 N 0.500 0.974 0.764
7 O 0.000 0.432 0.677
8 O 0.000 0.568 0.177

---

[4]
# TbTcNO

A relaxed TbTcNO crystal (GGA-PBE, OQMD).

a = 5.528 Å, b = 7.836 Å, c = 5.214 Å
α = 90.00°, β = 90.00°, γ = 90.00°
Fractional coordinates of all 16 atoms:
1 Tb 0.016 0.145 0.000
2 Tb 0.484 0.145 0.500
3 Tb 0.516 0.855 0.000
4 Tb 0.984 0.855 0.500
5 Tc 0.124 0.484 0.694
6 Tc 0.376 0.484 0.194
7 Tc 0.624 0.516 0.694
8 Tc 0.876 0.516 0.194
9 N 0.096 0.354 0.367
10 N 0.404 0.354 0.867
11 N 0.596 0.646 0.367
12 N 0.904 0.646 0.867
13 O 0.249 0.985 0.246
14 O 0.251 0.985 0.746
15 O 0.749 0.015 0.246
16 O 0.751 0.015 0.746

---

[5]
# TbTcNO

A relaxed TbTcNO crystal (GGA-PBE, OQMD).

a = 3.763 Å, b = 3.763 Å, c = 7.768 Å
α = 90.00°, β = 90.00°, γ = 90.00°
Fractional coordinates of all 8 atoms:
1 Tb 0.250 0.250 0.150
2 Tb 0.750 0.750 0.850
3 Tc 0.250 0.750 0.500
4 Tc 0.750 0.250 0.500
5 N 0.250 0.250 0.627
6 N 0.750 0.750 0.373
7 O 0.250 0.750 0.000
8 O 0.750 0.250 0.000

---

[6]
# TbTcNO

A relaxed TbTcNO crystal (GGA-PBE, OQMD).

a = 4.811 Å, b = 4.811 Å, c = 4.404 Å
α = 90.00°, β = 90.00°, γ = 90.00°
Fractional coordinates of all 8 atoms:
1 Tb 0.250 0.750 0.000
2 Tb 0.750 0.250 0.000
3 Tc 0.250 0.250 0.499
4 Tc 0.750 0.750 0.501
5 N 0.250 0.250 0.999
6 N 0.750 0.750 0.001
7 O 0.250 0.750 0.500
8 O 0.750 0.250 0.500

---

[7]
# TbTcNO

A relaxed TbTcNO crystal (GGA-PBE, OQMD).

a = 6.081 Å, b = 7.493 Å, c = 4.930 Å
α = 90.00°, β = 90.00°, γ = 90.00°
Fractional coordinates of all 16 atoms:
1 Tb 0.057 0.156 0.000
2 Tb 0.443 0.156 0.500
3 Tb 0.557 0.844 0.000
4 Tb 0.943 0.844 0.500
5 Tc 0.135 0.664 0.986
6 Tc 0.365 0.664 0.486
7 Tc 0.635 0.336 0.986
8 Tc 0.865 0.336 0.486
9 N 0.059 0.138 0.496
10 N 0.441 0.138 0.996
11 N 0.559 0.862 0.496
12 N 0.941 0.862 0.996
13 O 0.057 0.551 0.615
14 O 0.443 0.551 0.115
15 O 0.557 0.449 0.615
16 O 0.943 0.449 0.115

---

[8]
# TbTlNO

A relaxed TbTlNO crystal (GGA-PBE, OQMD).

a = 5.122 Å, b = 5.122 Å, c = 4.744 Å
α = 90.00°, β = 90.00°, γ = 90.00°
Fractional coordinates of all 8 atoms:
1 Tb 0.250 0.750 0.000
2 Tb 0.750 0.250 0.000
3 Tl 0.250 0.250 0.499
4 Tl 0.750 0.750 0.501
5 N 0.250 0.250 0.999
6 N 0.750 0.750 0.001
7 O 0.250 0.750 0.500
8 O 0.750 0.250 0.500

---

[9]
# TbTlNO

A relaxed TbTlNO crystal (GGA-PBE, OQMD).

a = 3.894 Å, b = 6.577 Å, c = 6.018 Å
α = 90.00°, β = 90.00°, γ = 90.00°
Fractional coordinates of all 8 atoms:
1 Tb 0.000 0.175 0.000
2 Tb 0.000 0.825 0.500
3 Tl 0.500 0.318 0.488
4 Tl 0.500 0.682 0.988
5 N 0.000 0.147 0.375
6 N 0.000 0.853 0.875
7 O 0.500 0.307 0.908
8 O 0.500 0.693 0.408

---

[10]
# TbTlNO

A relaxed TbTlNO crystal (GGA-PBE, OQMD).

a = 6.751 Å, b = 7.612 Å, c = 5.902 Å
α = 90.00°, β = 90.00°, γ = 90.00°
Fractional coordinates of all 16 atoms:
1 Tb 0.084 0.127 0.000
2 Tb 0.416 0.127 0.500
3 Tb 0.584 0.873 0.000
4 Tb 0.916 0.873 0.500
5 Tl 0.088 0.643 0.002
6 Tl 0.412 0.643 0.502
7 Tl 0.588 0.357 0.002
8 Tl 0.912 0.357 0.502
9 N 0.099 0.106 0.618
10 N 0.401 0.106 0.118
11 N 0.599 0.894 0.618
12 N 0.901 0.894 0.118
13 O 0.060 0.622 0.591
14 O 0.440 0.622 0.091
15 O 0.560 0.378 0.591
16 O 0.940 0.378 0.091

---

[11]
# TbTlNO

A relaxed TbTlNO crystal (GGA-PBE, OQMD).

a = 5.662 Å, b = 8.757 Å, c = 5.658 Å
α = 90.00°, β = 90.00°, γ = 90.00°
Fractional coordinates of all 16 atoms:
1 Tb 0.000 0.118 0.000
2 Tb 0.000 0.882 0.500
3 Tb 0.500 0.118 0.500
4 Tb 0.500 0.882 0.000
5 Tl 0.027 0.378 0.508
6 Tl 0.473 0.378 0.008
7 Tl 0.527 0.622 0.508
8 Tl 0.973 0.622 0.008
9 N 0.032 0.368 0.076
10 N 0.468 0.368 0.576
11 N 0.532 0.632 0.076
12 N 0.968 0.632 0.576
13 O 0.249 0.999 0.747
14 O 0.251 0.999 0.247
15 O 0.749 0.001 0.747
16 O 0.751 0.001 0.247

---

[12]
# TbTlNO

A relaxed TbTlNO crystal (GGA-PBE, OQMD).

a = 3.870 Å, b = 6.619 Å, c = 6.071 Å
α = 90.00°, β = 90.00°, γ = 90.00°
Fractional coordinates of all 8 atoms:
1 Tb 0.000 0.174 0.000
2 Tb 0.000 0.826 0.500
3 Tl 0.500 0.333 0.507
4 Tl 0.500 0.667 0.007
5 N 0.500 0.331 0.899
6 N 0.500 0.669 0.399
7 O 0.000 0.126 0.355
8 O 0.000 0.874 0.855

---

[13]
# TbTlNO

A relaxed TbTlNO crystal (GGA-PBE, OQMD).

a = 4.131 Å, b = 4.131 Å, c = 7.815 Å
α = 90.00°, β = 90.00°, γ = 90.00°
Fractional coordinates of all 8 atoms:
1 Tb 0.250 0.250 0.123
2 Tb 0.750 0.750 0.877
3 Tl 0.250 0.750 0.500
4 Tl 0.750 0.250 0.500
5 N 0.250 0.250 0.678
6 N 0.750 0.750 0.322
7 O 0.250 0.750 0.000
8 O 0.750 0.250 0.000

---

[14]
# TbTmNO

A relaxed TbTmNO crystal (GGA-PBE, OQMD).

a = 3.408 Å, b = 3.408 Å, c = 4.770 Å
α = 90.00°, β = 90.00°, γ = 90.00°
Fractional coordinates of all 4 atoms:
1 Tb 0.000 0.000 0.000
2 Tm 0.500 0.500 0.500
3 N 0.500 0.500 0.000
4 O 0.000 0.000 0.500

---

[15]
# TbTmNO

A relaxed TbTmNO crystal (GGA-PBE, OQMD).

a = 4.820 Å, b = 4.820 Å, c = 4.773 Å
α = 90.00°, β = 90.00°, γ = 90.00°
Fractional coordinates of all 8 atoms:
1 Tb 0.250 0.750 0.000
2 Tb 0.750 0.250 0.000
3 Tm 0.250 0.250 0.500
4 Tm 0.750 0.750 0.500
5 N 0.250 0.250 0.001
6 N 0.750 0.750 0.999
7 O 0.250 0.750 0.500
8 O 0.750 0.250 0.500

---

[16]
# TbTmNO

A relaxed TbTmNO crystal (GGA-PBE, OQMD).

a = 4.819 Å, b = 3.946 Å, c = 6.826 Å
α = 90.00°, β = 90.00°, γ = 90.00°
Fractional coordinates of all 8 atoms:
1 Tb 0.250 0.000 0.165
2 Tb 0.750 0.000 0.835
3 Tm 0.250 0.500 0.668
4 Tm 0.750 0.500 0.332
5 N 0.250 0.500 0.341
6 N 0.750 0.500 0.659
7 O 0.250 0.000 0.815
8 O 0.750 0.000 0.185

---

[17]
# TbTmNO

A relaxed TbTmNO crystal (GGA-PBE, OQMD).

a = 4.349 Å, b = 4.349 Å, c = 7.957 Å
α = 90.00°, β = 90.00°, γ = 90.00°
Fractional coordinates of all 8 atoms:
1 Tb 0.250 0.250 0.099
2 Tb 0.750 0.750 0.901
3 Tm 0.250 0.750 0.500
4 Tm 0.750 0.250 0.500
5 N 0.250 0.250 0.574
6 N 0.750 0.750 0.426
7 O 0.250 0.750 0.000
8 O 0.750 0.250 0.000

---

[18]
# TbTmNO

A relaxed TbTmNO crystal (GGA-PBE, OQMD).

a = 7.999 Å, b = 6.588 Å, c = 4.872 Å
α = 90.00°, β = 90.00°, γ = 90.00°
Fractional coordinates of all 16 atoms:
1 Tb 0.124 0.069 0.250
2 Tb 0.124 0.431 0.750
3 Tb 0.876 0.569 0.250
4 Tb 0.876 0.931 0.750
5 Tm 0.375 0.585 0.250
6 Tm 0.375 0.915 0.750
7 Tm 0.625 0.085 0.250
8 Tm 0.625 0.415 0.750
9 N 0.379 0.574 0.750
10 N 0.379 0.926 0.250
11 N 0.621 0.074 0.750
12 N 0.621 0.426 0.250
13 O 0.139 0.091 0.750
14 O 0.139 0.409 0.250
15 O 0.861 0.591 0.750
16 O 0.861 0.909 0.250

---

[19]
# TbTmNO

A relaxed TbTmNO crystal (GGA-PBE, OQMD).

a = 8.018 Å, b = 6.543 Å, c = 4.914 Å
α = 90.00°, β = 90.00°, γ = 90.00°
Fractional coordinates of all 16 atoms:
1 Tb 0.129 0.081 0.250
2 Tb 0.129 0.419 0.750
3 Tb 0.871 0.581 0.250
4 Tb 0.871 0.919 0.750
5 Tm 0.379 0.570 0.250
6 Tm 0.379 0.930 0.750
7 Tm 0.621 0.070 0.250
8 Tm 0.621 0.430 0.750
9 N 0.130 0.065 0.750
10 N 0.130 0.435 0.250
11 N 0.870 0.565 0.750
12 N 0.870 0.935 0.250
13 O 0.375 0.596 0.750
14 O 0.375 0.904 0.250
15 O 0.625 0.096 0.750
16 O 0.625 0.404 0.250

---

[20]
# TbTmNO

A relaxed TbTmNO crystal (GGA-PBE, OQMD).

a = 4.847 Å, b = 3.940 Å, c = 6.840 Å
α = 90.00°, β = 90.00°, γ = 90.00°
Fractional coordinates of all 8 atoms:
1 Tb 0.250 0.000 0.165
2 Tb 0.750 0.000 0.835
3 Tm 0.250 0.500 0.669
4 Tm 0.750 0.500 0.331
5 N 0.250 0.000 0.828
6 N 0.750 0.000 0.172
7 O 0.250 0.500 0.340
8 O 0.750 0.500 0.660

---

Number 1: uncorrected energy -8.081 eV per atom, magnetic moment 0.002 μB per formula unit. Number 2: uncorrected energy -8.389 eV per atom, magnetic moment 0.006 μB per formula unit. Number 3: uncorrected energy -8.232 eV per atom, magnetic moment 0.000 μB per formula unit. Number 4: uncorrected energy -8.761 eV per atom, magnetic moment 0.005 μB per formula unit. Number 5: uncorrected energy -8.556 eV per atom, magnetic moment 0.019 μB per formula unit. Number 6: uncorrected energy -8.058 eV per atom, magnetic moment 1.983 μB per formula unit. Number 7: uncorrected energy -8.171 eV per atom, magnetic moment 0.000 μB per formula unit. Number 8: uncorrected energy -6.187 eV per atom, magnetic moment 0.003 μB per formula unit. Number 9: uncorrected energy -6.163 eV per atom, magnetic moment 0.001 μB per formula unit. Number 10: uncorrected energy -6.124 eV per atom, magnetic moment 0.001 μB per formula unit. Number 11: uncorrected energy -6.322 eV per atom, magnetic moment 0.005 μB per formula unit. Number 12: uncorrected energy -6.168 eV per atom, magnetic moment 0.007 μB per formula unit. Number 13: uncorrected energy -5.957 eV per atom, magnetic moment 0.002 μB per formula unit. Number 14: uncorrected energy -7.922 eV per atom, magnetic moment 0.001 μB per formula unit. Number 15: uncorrected energy -7.923 eV per atom, magnetic moment 0.001 μB per formula unit. Number 16: uncorrected energy -7.855 eV per atom, magnetic moment 0.015 μB per formula unit. Number 17: uncorrected energy -7.455 eV per atom, magnetic moment 0.001 μB per formula unit. Number 18: uncorrected energy -7.837 eV per atom, magnetic moment 0.001 μB per formula unit. Number 19: uncorrected energy -7.800 eV per atom, magnetic moment 0.010 μB per formula unit. Number 20: uncorrected energy -7.826 eV per atom, magnetic moment 0.013 μB per formula unit.